Entry 1:
Computed, not measured: a crystal of MnPb2Cl relaxed with PBEsol at the meta-GGA SCAN level of DFT.

The structure in extended XYZ format:
```
8
Lattice="3.208 0.000 0.000 0.000 4.249 0.000 0.000 0.000 14.546" Properties=species:S:1:pos:R:3 pbc="T T T"
Mn 0.000 0.000 0.000
Mn 1.604 2.124 7.273
Pb 0.000 2.124 4.591
Pb 0.000 2.124 9.955
Pb 1.604 0.000 2.682
Pb 1.604 0.000 11.864
Cl 0.000 0.000 7.273
Cl 1.604 2.124 0.000
```

Calculated values
The uncorrected formation energy is -0.99 eV/f.u. The value obtained for the energy relative to the lowest polymorph listed for this composition is 26.6 kJ/mol of formula units. As for the space-group type: Immm, No. 71.

---

Entry 2:
Computed, not measured: a crystal of MnPbCl2 relaxed with PBEsol at the meta-GGA SCAN level of DFT.

The structure in extended XYZ format:
```
8
Lattice="6.403 0.000 0.000 0.000 8.426 0.000 0.000 0.000 3.289" Properties=species:S:1:pos:R:3 pbc="T T T"
Mn 0.000 0.000 0.000
Mn 3.202 4.213 0.000
Pb 0.000 4.213 0.000
Pb 3.202 0.000 0.000
Cl 1.601 2.107 1.645
Cl 1.601 6.320 1.645
Cl 4.802 2.107 1.645
Cl 4.802 6.320 1.645
```

Calculated values
The uncorrected formation energy is -1.37 eV/f.u. The value obtained for the energy relative to the lowest polymorph listed for this composition is 185.1 kJ/mol of formula units. As for the space-group type: Cmmm, No. 65.

---

Entry 3:
Computed, not measured: a crystal of MnPb2Cl relaxed with PBEsol at the meta-GGA SCAN level of DFT.

The structure in extended XYZ format:
```
8
Lattice="10.396 0.000 0.000 0.000 3.343 0.000 -0.681 0.000 5.591" Properties=species:S:1:pos:R:3 pbc="T T T"
Mn 0.000 0.000 0.000
Mn 5.198 1.672 0.000
Pb 2.185 1.672 1.335
Pb 2.333 0.000 4.256
Pb 7.383 0.000 1.335
Pb 7.531 1.672 4.256
Cl -0.340 1.672 2.796
Cl 4.858 0.000 2.796
```

Calculated values
The uncorrected formation energy is -0.35 eV/f.u. The value obtained for the energy relative to the lowest polymorph listed for this composition is 88.2 kJ/mol of formula units. As for the space-group type: C2/m, No. 12.

---

Entry 4:
Computed, not measured: a crystal of Mn2PbCl relaxed with PBEsol at the meta-GGA SCAN level of DFT.

The structure in extended XYZ format:
```
8
Lattice="3.273 0.000 0.000 0.000 5.579 0.000 0.000 0.000 8.352" Properties=species:S:1:pos:R:3 pbc="T T T"
Mn 0.000 0.000 1.895
Mn 0.000 0.000 6.458
Mn 1.636 2.790 1.895
Mn 1.636 2.790 6.458
Pb 0.000 2.790 4.176
Pb 1.636 0.000 4.176
Cl 0.000 2.790 0.000
Cl 1.636 0.000 0.000
```

Calculated values
The uncorrected formation energy is -0.45 eV/f.u. The value obtained for the energy relative to the lowest polymorph listed for this composition is 0.0 kJ/mol of formula units. As for the space-group type: Cmmm, No. 65.

---

Entry 5:
Computed, not measured: a crystal of Mn2PbCl relaxed with PBEsol at the meta-GGA SCAN level of DFT.

The structure in extended XYZ format:
```
8
Lattice="8.875 0.000 0.000 0.000 3.058 0.000 -0.806 0.000 5.551" Properties=species:S:1:pos:R:3 pbc="T T T"
Mn 0.000 0.000 0.000
Mn 1.816 1.529 1.394
Mn 4.438 1.529 0.000
Mn 6.254 0.000 1.394
Pb 1.554 0.000 4.216
Pb 5.991 1.529 4.216
Cl 3.838 0.000 1.820
Cl 8.276 1.529 1.820
```

Calculated values
The uncorrected formation energy is -0.30 eV/f.u. The value obtained for the energy relative to the lowest polymorph listed for this composition is 14.7 kJ/mol of formula units. As for the space-group type: Cm, No. 8.

---

Entry 6:
Computed, not measured: a crystal of MnPbCl2 relaxed with PBEsol at the meta-GGA SCAN level of DFT.

The structure in extended XYZ format:
```
4
Lattice="3.537 0.000 0.000 0.000 4.319 0.000 -0.397 0.000 5.702" Properties=species:S:1:pos:R:3 pbc="T T T"
Mn 0.000 0.000 0.000
Pb 1.570 0.000 2.851
Cl 0.346 2.159 4.423
Cl 2.795 2.159 1.279
```

Calculated values
The uncorrected formation energy is -2.27 eV/f.u. The value obtained for the energy relative to the lowest polymorph listed for this composition is 98.3 kJ/mol of formula units. As for the space-group type: P2/m, No. 10.